Entry 1:
SrTl2Tc | GGA-PBEsol | relaxed

Mass density = 10704 kg/m3
Size of the total moment = 0.6 μB per formula unit
Space-group type = P4/mmm (123)
Energy above the lowest structure with this stoichiometry = 0.00 eV/f.u.
Energy of formation = 0.29 eV/atom

```
SrTl2Tc
1.0
-1.4174 -2.8771 1.4206
2.9084 -0.4959 1.8974
-2.8955 4.1541 5.5242
Tc Sr Tl
1 1 2
Direct
0.5000 0.5000 0.5000
0.5000 0.5000 0.0000
0.0000 0.0000 0.7005
0.0000 0.0000 0.2995
```

Entry 2:
IrPtSe2 | GGA-PBEsol | relaxed

Mass density = 13264 kg/m3
Size of the total moment = 0.0 μB per formula unit
Space-group type = Cmm2 (35)
ΔE_f (raw) = 334 meV/atom

```
IrPtSe2
1.0
2.8384 0.0000 0.0000
-1.4192 2.4934 0.0000
0.0000 0.0000 9.6449
Se Pt Ir
2 1 1
Direct
0.0000 0.0000 0.9689
0.5000 0.0000 0.2890
0.5000 0.0000 0.7405
0.0000 0.0000 0.5016
```

Entry 3:
TlInAg2 | GGA-PBEsol | relaxed

Mass density = 10859 kg/m3
Size of the total moment = 0.0 μB per formula unit
Space-group type = I4/mmm (139)
Energy of formation = 0.09 eV/atom

```
TlInAg2
1.0
4.4590 0.0000 0.0000
0.0000 4.4590 0.0000
-2.2295 -2.2295 4.1141
Ag Tl In
2 1 1
Direct
0.7500 0.2500 0.5000
0.2500 0.7500 0.5000
0.0000 0.0000 0.0000
0.5000 0.5000 0.0000
```

Entry 4:
La2HIN | GGA-PBEsol | relaxed

Total DFT energy (no corrections) = -5.09 eV/atom
Mass density = 5615 kg/m3
Size of the total moment = 0.0 μB per formula unit
Space-group type = P4/mmm (123)

```
La2HIN
1.0
4.8804 0.0000 0.0000
0.0000 4.8804 0.0000
0.0000 0.0000 5.2115
I H La N
1 1 2 1
Direct
0.0000 0.0000 0.5000
0.5000 0.5000 0.5000
0.0000 0.5000 0.0000
0.5000 0.0000 0.0000
0.0000 0.0000 0.0000
```

Entry 5:
LiCu2Pt | GGA-PBEsol | relaxed

Mass density = 11222 kg/m3
Size of the total moment = 0.0 μB per formula unit
Space-group type = F-43m (216)
Energy above the lowest structure with this stoichiometry = 0.22 eV/f.u.
Energy of formation = -0.19 eV/atom

```
LiCu2Pt
1.0
-2.1741 2.5485 2.3623
-3.9086 -0.8596 0.8863
-1.0410 -1.1176 3.8038
Cu Pt Li
2 1 1
Direct
0.7500 0.7500 0.7500
0.0000 0.0000 0.0000
0.2500 0.2500 0.2500
0.5000 0.5000 0.5000
```

Entry 6:
TiSnF2 | GGA-PBEsol | relaxed

Mass density = 4765 kg/m3
Size of the total moment = 0.0 μB per formula unit
Space-group type = R-3m (166)
Energy above the lowest structure with this stoichiometry = 0.00 eV/f.u.
ΔE_f (raw) = -1848 meV/atom

```
TiSnF2
1.0
2.9184 0.0000 0.0000
1.4592 2.5274 0.0000
1.4592 0.8425 9.6653
F Ti Sn
2 1 1
Direct
0.8782 0.8782 0.3655
0.1218 0.1218 0.6345
0.5000 0.5000 0.5000
0.0000 0.0000 0.0000
```

Entry 7:
CdNiW2 | GGA-PBEsol | relaxed

Mass density = 14592 kg/m3
Size of the total moment = 0.0 μB per formula unit
Space-group type = R3m (160)
Energy of formation = 0.36 eV/atom

```
CdNiW2
1.0
-2.1036 0.8356 -1.5997
-0.6900 -1.4568 -2.2548
-6.7690 -5.2482 3.7588
Cd W Ni
1 2 1
Direct
0.5067 0.5067 0.4800
0.7466 0.7466 0.7602
0.9928 0.9928 0.0215
0.2539 0.2539 0.2384
```

Entry 8:
BaLaFe2O6 | GGA-PBEsol | relaxed

Mass density = 7003 kg/m3
Size of the total moment = 6.5 μB per formula unit
Space-group type = Fm-3m (225)
ΔE_f (raw) = -2211 meV/atom

```
BaLaFe2O6
1.0
5.4545 0.0000 0.0000
2.7272 4.7237 0.0000
2.7272 1.5746 4.4536
La O Ba Fe
1 6 1 2
Direct
0.0000 0.0000 0.0000
0.0000 0.5000 0.0000
0.5000 0.0000 0.0000
0.5000 0.0000 0.5000
0.0000 0.5000 0.5000
0.0000 0.0000 0.5000
0.5000 0.5000 0.0000
0.5000 0.5000 0.5000
0.2500 0.2500 0.2500
0.7500 0.7500 0.7500
```